[1]
DFT (PBE) results for crystalline CaTiCd at its relaxed geometry.

The structure belongs to space group P4mm (No. 99); the cell edges are 3.3729, 3.3729 and 13.1389 Å and the angles 90.00°, 90.00° and 90.00°. The inequivalent atoms are Ca at (0.0000, 0.0000, 0.0000), Ca at (0.5000, 0.5000, 0.2441), Ti at (0.0000, 0.0000, 0.7023), Ti at (0.5000, 0.5000, 0.8133), Cd at (0.0000, 0.0000, 0.4198) and Cd at (0.5000, 0.5000, 0.5684).

The density of states at the Fermi level comes out at 1.061 states/eV/atom. The value obtained for the energy of formation is 78 meV per atom. The energy is -21.15 eV per cell.



[2]
DFT (PBE) results for crystalline PmY2Pd at its relaxed geometry.

The structure belongs to space group P4/mmm (No. 123); the cell edges are 3.5893, 3.5893 and 8.6254 Å and the angles 90.00°, 90.00° and 90.00°. The inequivalent atoms are Pm at (0.0000, 0.0000, 0.0000), Y at (0.5000, 0.5000, 0.3054) and Pd at (0.0000, 0.0000, 0.5000).

The density of states at the Fermi level comes out at 1.321 states/eV/atom. The value obtained for the energy of formation is -405 meV per atom. The energy is -24.49 eV per cell.



[3]
DFT (PBE) results for crystalline Ce2HF at its relaxed geometry.

The structure belongs to space group P4/mmm (No. 123); the cell edges are 3.0012, 3.0012 and 6.7252 Å and the angles 90.00°, 90.00° and 90.00°. The inequivalent atoms are Ce at (0.0000, 0.0000, 0.2053), H at (0.5000, 0.5000, 0.0000) and F at (0.5000, 0.5000, 0.5000).

The density of states at the Fermi level comes out at 1.636 states/eV/atom. The energy is -20.86 eV per cell.



[4]
DFT (PBE) results for crystalline CsTaTi2F at its relaxed geometry.

The structure belongs to space group P4/mmm (No. 123); the cell edges are 4.7343, 4.7343 and 8.3835 Å and the angles 90.00°, 90.00° and 90.00°. The inequivalent atoms are Cs at (0.0000, 0.0000, 0.0000), Ta at (0.0000, 0.0000, 0.5000), Ti at (0.0000, 0.5000, 0.5000) and F at (0.5000, 0.5000, 0.0000).

The density of states at the Fermi level comes out at 1.180 states/eV/atom. Its uncorrected formation energy is 700 meV per atom. The energy is -26.87 eV per cell.



[5]
DFT (PBE) results for crystalline Sm2LuPu at its relaxed geometry.

The structure belongs to space group Fm-3m (No. 225); the cell edges are 7.9379, 7.9379 and 7.9379 Å and the angles 90.00°, 90.00° and 90.00°. The inequivalent atoms are Sm at (0.2500, 0.2500, 0.2500), Lu at (0.0000, 0.0000, 0.0000) and Pu at (0.0000, 0.0000, 0.5000).

The density of states at the Fermi level comes out at 3.027 states/eV/atom. The value obtained for the energy of formation is 203 meV per atom. The energy is -109.92 eV per cell.



[6]
DFT (PBE) results for crystalline Pr3GaGe2Pt9 at its relaxed geometry.

The structure belongs to space group P-3m1 (No. 164); the cell edges are 6.4834, 6.4834 and 9.1890 Å and the angles 90.00°, 90.00° and 120.00°. The inequivalent atoms are Pr at (0.0000, 0.0000, 0.0000), Pr at (0.3333, 0.6667, 0.7195), Ga at (0.0000, 0.0000, 0.5000), Ge at (0.3333, 0.6667, 0.1860), Pt at (0.0000, 0.5000, 0.0000) and Pt at (0.1395, 0.2789, 0.2849).

The density of states at the Fermi level comes out at 0.312 states/eV/atom. The value obtained for the energy of formation is -630 meV per atom. The energy is -90.41 eV per cell.



> Look up the energy of the third one.

-20.86 eV per cell